# 1
A plane-wave DFT calculation with PBE was carried out for a relaxed SmHo2Er5Tm crystal.

```
data_SmHo2Er5Tm
_chemical_formula_sum 'Sm4 Ho8 Er20 Tm4'
_cell_length_a 8.946
_cell_length_b 8.946
_cell_length_c 14.324
_cell_angle_alpha 90.00
_cell_angle_beta 90.00
_cell_angle_gamma 90.00
_symmetry_space_group_name_H-M 'I 4/m c m'
_symmetry_Int_Tables_number 140
_symmetry_space_group_name_Hall '-I 4 2c'
loop_
_atom_site_label
_atom_site_fract_x
_atom_site_fract_y
_atom_site_fract_z
Sm1 0.000 0.000 0.250
Ho1 0.111 0.389 0.000
Er1 0.000 0.000 0.000
Er2 0.205 0.295 0.369
Tm1 0.000 0.500 0.250
```

# 2
A plane-wave DFT calculation with PBE was carried out for a relaxed SmHo4Er2Tm crystal.

```
data_SmHo4Er2Tm
_chemical_formula_sum 'Sm1 Ho4 Er2 Tm1'
_cell_length_a 4.983
_cell_length_b 4.983
_cell_length_c 9.984
_cell_angle_alpha 90.00
_cell_angle_beta 90.00
_cell_angle_gamma 90.00
_symmetry_space_group_name_H-M 'P 4/m m m'
_symmetry_Int_Tables_number 123
_symmetry_space_group_name_Hall '-P 4 2'
loop_
_atom_site_label
_atom_site_fract_x
_atom_site_fract_y
_atom_site_fract_z
Sm1 0.000 0.000 0.000
Ho1 0.000 0.500 0.252
Er1 0.000 0.000 0.500
Er2 0.500 0.500 0.000
Tm1 0.500 0.500 0.500
```

# 3
A plane-wave DFT calculation with PBE was carried out for a relaxed Sm2HoEr2Tm2 crystal.

```
data_Sm2HoEr2Tm2
_chemical_formula_sum 'Sm4 Ho2 Er4 Tm4'
_cell_length_a 11.610
_cell_length_b 3.489
_cell_length_c 11.691
_cell_angle_alpha 90.00
_cell_angle_beta 109.10
_cell_angle_gamma 90.00
_symmetry_space_group_name_H-M 'C 1 2/m 1'
_symmetry_Int_Tables_number 12
loop_
_symmetry_equiv_pos_as_xyz
'x,y,z'
'-x,-y,-z'
'-x,y,-z'
'x,-y,z'
'x+1/2,y+1/2,z'
'-x+1/2,-y+1/2,-z'
'-x+1/2,y+1/2,-z'
'x+1/2,-y+1/2,z'
loop_
_atom_site_label
_atom_site_fract_x
_atom_site_fract_y
_atom_site_fract_z
Sm1 0.172 0.000 0.085
Ho1 0.000 0.500 0.500
Er1 0.226 0.500 0.363
Tm1 0.050 0.000 0.770
```

# 4
A plane-wave DFT calculation with PBE was carried out for a relaxed Sm6HoErTm2 crystal.

```
data_Sm6HoErTm2
_chemical_formula_sum 'Sm24 Ho4 Er4 Tm8'
_cell_length_a 9.161
_cell_length_b 15.130
_cell_length_c 9.548
_cell_angle_alpha 90.00
_cell_angle_beta 97.39
_cell_angle_gamma 90.00
_symmetry_space_group_name_H-M 'C 1 2/c 1'
_symmetry_Int_Tables_number 15
loop_
_symmetry_equiv_pos_as_xyz
'x,y,z'
'-x,-y,-z'
'-x,y,-z+1/2'
'x,-y,z+1/2'
'x+1/2,y+1/2,z'
'-x+1/2,-y+1/2,-z'
'-x+1/2,y+1/2,-z+1/2'
'x+1/2,-y+1/2,z+1/2'
loop_
_atom_site_label
_atom_site_fract_x
_atom_site_fract_y
_atom_site_fract_z
Sm1 0.061 0.178 0.446
Sm2 0.099 0.391 0.619
Sm3 0.212 0.224 0.815
Ho1 0.000 0.410 0.250
Er1 0.000 0.028 0.750
Tm1 0.249 0.050 0.046
```

# 5
A plane-wave DFT calculation with PBE was carried out for a relaxed Sm6HoEr2Tm3 crystal.

```
data_Sm6HoEr2Tm3
_chemical_formula_sum 'Sm12 Ho2 Er4 Tm6'
_cell_length_a 6.185
_cell_length_b 10.709
_cell_length_c 11.716
_cell_angle_alpha 90.00
_cell_angle_beta 100.09
_cell_angle_gamma 90.00
_symmetry_space_group_name_H-M 'C 1 2/m 1'
_symmetry_Int_Tables_number 12
loop_
_symmetry_equiv_pos_as_xyz
'x,y,z'
'-x,-y,-z'
'-x,y,-z'
'x,-y,z'
'x+1/2,y+1/2,z'
'-x+1/2,-y+1/2,-z'
'-x+1/2,y+1/2,-z'
'x+1/2,-y+1/2,z'
loop_
_atom_site_label
_atom_site_fract_x
_atom_site_fract_y
_atom_site_fract_z
Sm1 0.249 0.167 0.249
Sm2 0.250 0.000 0.751
Ho1 0.000 0.500 0.500
Er1 0.000 0.167 0.500
Tm1 0.000 0.000 0.000
Tm2 0.000 0.333 0.000
```

# 6
A plane-wave DFT calculation with PBE was carried out for a relaxed Sm2Ho3Er6Tm crystal.

```
data_Sm2Ho3Er6Tm
_chemical_formula_sum 'Sm4 Ho6 Er12 Tm2'
_cell_length_a 6.113
_cell_length_b 10.577
_cell_length_c 11.687
_cell_angle_alpha 90.00
_cell_angle_beta 100.00
_cell_angle_gamma 90.00
_symmetry_space_group_name_H-M 'C 1 2/m 1'
_symmetry_Int_Tables_number 12
loop_
_symmetry_equiv_pos_as_xyz
'x,y,z'
'-x,-y,-z'
'-x,y,-z'
'x,-y,z'
'x+1/2,y+1/2,z'
'-x+1/2,-y+1/2,-z'
'-x+1/2,y+1/2,-z'
'x+1/2,-y+1/2,z'
loop_
_atom_site_label
_atom_site_fract_x
_atom_site_fract_y
_atom_site_fract_z
Sm1 0.000 0.167 0.000
Ho1 0.000 0.000 0.500
Ho2 0.000 0.334 0.500
Er1 0.248 0.500 0.748
Er2 0.250 0.166 0.748
Tm1 0.000 0.500 0.000
```

# 7
A plane-wave DFT calculation with PBE was carried out for a relaxed SmHoEr5Tm2 crystal.

```
data_SmHoEr5Tm2
_chemical_formula_sum 'Sm4 Ho4 Er20 Tm8'
_cell_length_a 5.542
_cell_length_b 19.620
_cell_length_c 10.475
_cell_angle_alpha 90.00
_cell_angle_beta 90.00
_cell_angle_gamma 90.00
_symmetry_space_group_name_H-M 'C m c 21'
_symmetry_Int_Tables_number 36
loop_
_symmetry_equiv_pos_as_xyz
'x,y,z'
'-x,-y,z+1/2'
'-x,y,z'
'x,-y,z+1/2'
'x+1/2,y+1/2,z'
'-x+1/2,-y+1/2,z+1/2'
'-x+1/2,y+1/2,z'
'x+1/2,-y+1/2,z+1/2'
loop_
_atom_site_label
_atom_site_fract_x
_atom_site_fract_y
_atom_site_fract_z
Sm1 0.000 0.085 0.000
Ho1 0.000 0.300 0.560
Er1 0.000 0.022 0.284
Er2 0.000 0.111 0.570
Er3 0.000 0.201 0.257
Er4 0.000 0.219 0.859
Er5 0.000 0.482 0.572
Tm1 0.000 0.387 0.866
Tm2 0.000 0.390 0.284
```

# 8
A plane-wave DFT calculation with PBE was carried out for a relaxed Sm5Ho2ErTm crystal.

```
data_Sm5Ho2ErTm
_chemical_formula_sum 'Sm20 Ho8 Er4 Tm4'
_cell_length_a 5.602
_cell_length_b 20.128
_cell_length_c 10.615
_cell_angle_alpha 90.00
_cell_angle_beta 90.00
_cell_angle_gamma 90.00
_symmetry_space_group_name_H-M 'C m c 21'
_symmetry_Int_Tables_number 36
loop_
_symmetry_equiv_pos_as_xyz
'x,y,z'
'-x,-y,z+1/2'
'-x,y,z'
'x,-y,z+1/2'
'x+1/2,y+1/2,z'
'-x+1/2,-y+1/2,z+1/2'
'-x+1/2,y+1/2,z'
'x+1/2,-y+1/2,z+1/2'
loop_
_atom_site_label
_atom_site_fract_x
_atom_site_fract_y
_atom_site_fract_z
Sm1 0.000 0.017 0.000
Sm2 0.000 0.115 0.279
Sm3 0.000 0.201 0.965
Sm4 0.000 0.220 0.570
Sm5 0.000 0.483 0.275
Ho1 0.000 0.386 0.569
Ho2 0.000 0.388 0.996
Er1 0.000 0.091 0.719
Tm1 0.000 0.302 0.269
```

| no. | formation energy (meV/atom) | volume (Å³/f.u.) | raw total energy (eV/cell) |
| --- | --- | --- | --- |
| 1 | 302 | 286.58 | -153.76 |
| 2 | 22 | 247.85 | -36.45 |
| 3 | 88 | 223.73 | -62.93 |
| 4 | 120 | 328.09 | -180.81 |
| 5 | 16 | 382.03 | -110.48 |
| 6 | 20 | 372.10 | -109.56 |
| 7 | 165 | 284.75 | -158.29 |
| 8 | 148 | 299.20 | -161.82 |